1.
Entry from Alexandria via LeMat-Bulk: a relaxed structure of SrOsBr (GGA-PBEsol).

Cell: 4.812 4.812 4.812 Å, 60.00 60.00 60.00°
Element x y z (fractional)
Br 0.250 0.250 0.250
Os 0.000 0.000 0.000
Sr 0.500 0.500 0.500

Values from the calculation:
E_tot = -4.335 eV/atom
Space-group type = F-43m (216)
Energy above the lowest structure with this stoichiometry = 1.634 eV/f.u.
Formation energy (no corrections) = 0.9738 eV/atom

***

2.
Entry from Alexandria via LeMat-Bulk: a relaxed structure of SrOsBr3 (GGA-PBEsol).

Cell: 5.772 5.772 5.772 Å, 90.00 90.00 90.00°
Element x y z (fractional)
Br 0.500 0.000 0.000
Br 0.000 0.500 0.000
Br 0.000 0.000 0.500
Sr 0.000 0.000 0.000
Os 0.500 0.500 0.500

Values from the calculation:
E_tot = -3.469 eV/atom
Space-group type = Pm-3m (221)
Formation energy (no corrections) = 0.4642 eV/atom

***

3.
Entry from Alexandria via LeMat-Bulk: a relaxed structure of SrOsBr2 (GGA-PBEsol).

Cell: 5.250 5.250 5.250 Å, 60.00 60.00 60.00°
Element x y z (fractional)
Br 0.250 0.250 0.250
Br 0.000 0.000 0.000
Os 0.500 0.500 0.500
Sr 0.750 0.750 0.750

Values from the calculation:
E_tot = -3.815 eV/atom
Space-group type = F-43m (216)
Energy above the lowest structure with this stoichiometry = 2.614 eV/f.u.
Formation energy (no corrections) = 0.6336 eV/atom

***

4.
Entry from Alexandria via LeMat-Bulk: a relaxed structure of SrOsBr2 (GGA-PBEsol).

Cell: 5.477 5.477 4.861 Å, 55.71 55.71 60.00°
Element x y z (fractional)
Br 0.780 0.780 0.659
Br 0.220 0.220 0.341
Os 0.000 0.000 0.000
Sr 0.500 0.500 0.500

Values from the calculation:
E_tot = -4.392 eV/atom
Space-group type = R-3m (166)
Energy above the lowest structure with this stoichiometry = 0.306 eV/f.u.
Formation energy (no corrections) = 0.0568 eV/atom

***

5.
Entry from Alexandria via LeMat-Bulk: a relaxed structure of SrOsBr (GGA-PBEsol).

Cell: 4.268 4.268 4.384 Å, 90.00 90.00 120.00°
Element x y z (fractional)
Sr 0.333 0.667 0.500
Br 0.000 0.000 0.000
Os 0.667 0.333 0.000

Values from the calculation:
E_tot = -4.880 eV/atom
Space-group type = P-6m2 (187)
Energy above the lowest structure with this stoichiometry = 0.000 eV/f.u.
Formation energy (no corrections) = 0.4289 eV/atom

***

6.
Entry from Alexandria via LeMat-Bulk: a relaxed structure of SrOs3Br (GGA-PBEsol).

Cell: 5.010 5.010 5.010 Å, 90.00 90.00 90.00°
Element x y z (fractional)
Sr 0.000 0.000 0.000
Br 0.500 0.500 0.500
Os 0.000 0.500 0.000
Os 0.000 0.000 0.500
Os 0.500 0.000 0.000

Values from the calculation:
E_tot = -4.194 eV/atom
Space-group type = Pm-3m (221)
Formation energy (no corrections) = 3.8779 eV/atom